(1)
Compound: InSbCl2
Source: Alexandria
Functional: GGA-PBE
Structure: optimized geometry

Summary:
Raw total energy: -2.996 eV per atom
Theoretical density: 5.074 g cm⁻³
Raw formation energy: -1.43 eV/f.u.
Calculated volume: 25.2 A^3/atom

Cell lengths 6.8685, 9.4576, 3.5238 Å; angles 90.00, 118.46, 90.00 degrees
Closest atoms and distances in Å follow each position.
Space group C2/m (No. 12)
Inequivalent atoms, fractional coordinates:
1 In 0.0000 0.0000 0.0000  4 Cl 2.96
2 Sb 0.0000 0.5000 0.0000  4 Cl 2.96
3 Cl 0.2500 0.2500 0.5000  2 In 2.96, 2 Sb 2.96


(2)
Compound: InSb2Cl
Source: Alexandria
Functional: GGA-PBE
Structure: optimized geometry

Summary:
Raw total energy: -3.448 eV per atom
Theoretical density: 5.064 g cm⁻³
Raw formation energy: -0.96 eV/f.u.
Calculated volume: 32.3 A^3/atom

Cell lengths 3.3618, 4.3289, 17.7474 Å; angles 90.00, 90.00, 90.00 degrees
Closest atoms and distances in Å follow each position.
Space group Imm2 (No. 44)
Inequivalent atoms, fractional coordinates:
1 In 0.0000 0.0000 0.0000  2 Cl 2.69
2 Sb 0.0000 0.0000 0.6227  2 Sb 2.91
3 Sb 0.0000 0.5000 0.7327  2 Sb 2.91
4 Cl 0.0000 0.5000 0.3816  2 In 2.69


(3)
Compound: InSb2Cl
Source: Alexandria
Functional: GGA-PBE
Structure: optimized geometry

Summary:
Raw total energy: -3.199 eV per atom
Theoretical density: 6.343 g cm⁻³
Raw formation energy: 0.03 eV/f.u.
Calculated volume: 25.8 A^3/atom

Cell lengths 3.4505, 5.8132, 10.2797 Å; angles 90.00, 90.00, 90.00 degrees
Closest atoms and distances in Å follow each position.
Space group Cmmm (No. 65)
Inequivalent atoms, fractional coordinates:
1 In 0.0000 0.0000 0.0000  4 Sb 3.22, 6 In 3.38-3.45
2 Sb 0.0000 0.5000 0.2646  2 Cl 2.97, 2 In 3.22
3 Cl 0.0000 0.0000 0.5000  4 Sb 2.97


(4)
Compound: InSbCl6
Source: Alexandria
Functional: GGA-PBE
Structure: optimized geometry

Summary:
Raw total energy: -2.970 eV per atom
Theoretical density: 2.819 g cm⁻³
Raw formation energy: -5.82 eV/f.u.
Calculated volume: 33.1 A^3/atom

Cell lengths 6.8971, 6.9228, 7.5160 Å; angles 90.12, 117.19, 119.76 degrees
Closest atoms and distances in Å follow each position.
Space group P-1 (No. 2)
Inequivalent atoms, fractional coordinates:
1 In 0.0000 0.0000 0.0000  6 Cl 3.25-3.26
2 Sb 0.0000 0.5000 0.5000  6 Cl 2.42
3 Cl 0.1626 0.4734 0.2820  1 Sb 2.42
4 Cl 0.1892 0.3104 0.7176  1 Sb 2.42
5 Cl 0.4054 0.8764 0.7195  1 Sb 2.42